# 1
{"formula": "Mg3SiGe", "functional": "GGA-PBE", "state": "optimized geometry", "volume_a3_per_cell": 122.5, "de_polymorph_mev_per_atom": 0, "raw_formation_energy_mev_per_atom": 303, "magmom_total_mub_per_cell": 0.00, "lattice_angstrom": [[-3.117, -1.226, -3.667], [3.045, -3.682, -1.357], [-2.383, -3.100, 3.063]], "species": ["Mg", "Mg", "Ge", "Si", "Mg"], "fractional_positions": [[0.500, 0.000, 0.000], [0.000, 0.500, 0.000], [0.500, 0.500, 0.500], [0.000, 0.000, 0.000], [0.000, 0.000, 0.500]]}

---

# 2
{"formula": "Mg2Si2Ge", "functional": "GGA-PBE", "state": "optimized geometry", "volume_a3_per_cell": 187.5, "raw_formation_energy_mev_per_atom": 67, "magmom_total_mub_per_cell": 0.00, "lattice_angstrom": [[-5.820, 3.186, 1.577], [-2.761, -5.956, 1.848], [1.324, 0.555, 3.767]], "species": ["Si", "Si", "Si", "Ge", "Mg", "Mg", "Mg", "Ge", "Si", "Mg"], "fractional_positions": [[0.122, 0.378, 0.000], [0.378, 0.878, 0.000], [0.622, 0.122, 0.000], [0.500, 0.500, 0.000], [0.179, 0.679, 0.500], [0.821, 0.321, 0.500], [0.321, 0.179, 0.500], [0.000, 0.000, 0.000], [0.878, 0.622, 0.000], [0.679, 0.821, 0.500]]}

---

# 3
{"formula": "Mg4SiGe", "functional": "GGA-PBE", "state": "optimized geometry", "volume_a3_per_cell": 126.8, "de_polymorph_mev_per_atom": 512, "raw_formation_energy_mev_per_atom": 296, "magmom_total_mub_per_cell": 0.00, "lattice_angstrom": [[-5.357, -1.279, 1.209], [-3.871, -0.090, -4.099], [-2.182, -4.910, -1.710]], "species": ["Mg", "Si", "Mg", "Ge", "Mg", "Mg"], "fractional_positions": [[0.625, 0.125, 0.625], [0.000, 0.000, 0.000], [0.625, 0.625, 0.125], [0.250, 0.250, 0.250], [0.125, 0.625, 0.625], [0.625, 0.625, 0.625]]}

---

# 4
{"formula": "MgSiGe", "functional": "GGA-PBE", "state": "optimized geometry", "volume_a3_per_cell": 120.2, "de_polymorph_mev_per_atom": 42, "raw_formation_energy_mev_per_atom": 42, "magmom_total_mub_per_cell": 0.00, "lattice_angstrom": [[3.798, -0.005, -0.004], [1.862, 5.780, -0.001], [1.888, 2.065, 5.473]], "species": ["Si", "Si", "Mg", "Ge", "Ge", "Mg"], "fractional_positions": [[0.551, 0.292, 0.630], [0.449, 0.708, 0.370], [0.744, 0.780, 0.706], [0.059, 0.762, 0.092], [0.941, 0.238, 0.908], [0.256, 0.220, 0.294]]}

---

# 5
{"formula": "MgSiGe", "functional": "GGA-PBE", "state": "optimized geometry", "volume_a3_per_cell": 69.5, "de_polymorph_mev_per_atom": 83, "raw_formation_energy_mev_per_atom": 82, "magmom_total_mub_per_cell": 0.00, "lattice_angstrom": [[3.841, 0.000, 0.000], [-1.920, 3.326, 0.000], [0.000, 0.000, 5.443]], "species": ["Mg", "Si", "Ge"], "fractional_positions": [[0.333, 0.667, 0.944], [0.333, 0.667, 0.428], [0.667, 0.333, 0.617]]}

---

# 6
{"formula": "Mg4SiGe", "functional": "GGA-PBE", "state": "optimized geometry", "volume_a3_per_cell": 130.2, "de_polymorph_mev_per_atom": 0, "raw_formation_energy_mev_per_atom": -217, "magmom_total_mub_per_cell": 0.00, "lattice_angstrom": [[-2.541, 0.951, -3.610], [3.562, -0.689, -2.689], [-1.579, -6.163, -0.512]], "species": ["Mg", "Mg", "Mg", "Mg", "Si", "Ge"], "fractional_positions": [[0.500, 0.000, 0.251], [0.000, 0.500, 0.251], [0.500, 0.000, 0.749], [0.000, 0.500, 0.749], [0.500, 0.500, 0.500], [0.000, 0.000, 0.000]]}

---

# 7
{"formula": "Mg2SiGe2", "functional": "GGA-PBE", "state": "optimized geometry", "volume_a3_per_cell": 106.0, "de_polymorph_mev_per_atom": 226, "raw_formation_energy_mev_per_atom": 298, "magmom_total_mub_per_cell": 0.00, "lattice_angstrom": [[4.414, 0.000, 0.000], [0.000, 4.414, 0.000], [2.207, 2.207, 5.441]], "species": ["Mg", "Ge", "Ge", "Mg", "Si"], "fractional_positions": [[0.750, 0.250, 0.500], [0.608, 0.608, 0.784], [0.392, 0.392, 0.216], [0.250, 0.750, 0.500], [0.000, 0.000, 0.000]]}

---

# 8
{"formula": "MgSiGe", "functional": "GGA-PBE", "state": "optimized geometry", "volume_a3_per_cell": 120.8, "de_polymorph_mev_per_atom": 53, "raw_formation_energy_mev_per_atom": 52, "magmom_total_mub_per_cell": 0.00, "lattice_angstrom": [[3.817, 0.000, 0.000], [0.000, 4.786, -0.003], [0.000, 0.019, 6.614]], "species": ["Mg", "Mg", "Ge", "Si", "Ge", "Si"], "fractional_positions": [[0.000, 0.000, 0.000], [0.500, 0.000, 0.500], [0.500, 0.615, 0.172], [0.000, 0.393, 0.338], [0.500, 0.385, 0.828], [0.000, 0.607, 0.662]]}

---

# 9
{"formula": "Mg2SiGe2", "functional": "GGA-PBE", "state": "optimized geometry", "volume_a3_per_cell": 193.6, "de_polymorph_mev_per_atom": 0, "raw_formation_energy_mev_per_atom": 72, "magmom_total_mub_per_cell": 0.00, "lattice_angstrom": [[6.882, 0.000, 0.000], [0.000, 6.882, 0.000], [0.000, 0.000, 4.088]], "species": ["Si", "Ge", "Mg", "Ge", "Ge", "Mg", "Mg", "Mg", "Ge", "Si"], "fractional_positions": [[0.000, 0.000, 0.000], [0.633, 0.133, 0.000], [0.326, 0.174, 0.500], [0.367, 0.867, 0.000], [0.867, 0.633, 0.000], [0.826, 0.326, 0.500], [0.174, 0.674, 0.500], [0.674, 0.826, 0.500], [0.133, 0.367, 0.000], [0.500, 0.500, 0.000]]}

---

# 10
{"formula": "MgSiGe", "functional": "GGA-PBE", "state": "optimized geometry", "volume_a3_per_cell": 121.9, "de_polymorph_mev_per_atom": 12, "raw_formation_energy_mev_per_atom": 11, "magmom_total_mub_per_cell": 0.00, "lattice_angstrom": [[5.248, 0.000, -0.001], [0.000, 3.847, 0.000], [-2.782, 0.000, 6.040]], "species": ["Si", "Mg", "Ge", "Mg", "Si", "Ge"], "fractional_positions": [[0.246, 0.000, 0.925], [0.626, 0.000, 0.719], [0.015, 0.000, 0.515], [0.626, 0.500, 0.219], [0.246, 0.500, 0.425], [0.015, 0.500, 0.015]]}

---

# 11
{"formula": "MgSi3Ge", "functional": "GGA-PBE", "state": "optimized geometry", "volume_a3_per_cell": 109.9, "de_polymorph_mev_per_atom": 0, "raw_formation_energy_mev_per_atom": 885, "magmom_total_mub_per_cell": 0.00, "lattice_angstrom": [[-3.045, -1.941, -3.148], [3.468, -2.915, -1.558], [-1.285, -3.269, 3.258]], "species": ["Si", "Mg", "Si", "Si", "Ge"], "fractional_positions": [[0.000, 0.500, 0.000], [0.500, 0.500, 0.500], [0.000, 0.000, 0.500], [0.500, 0.000, 0.000], [0.000, 0.000, 0.000]]}

---

# 12
{"formula": "MgSiGe", "functional": "GGA-PBE", "state": "optimized geometry", "volume_a3_per_cell": 122.2, "de_polymorph_mev_per_atom": 3, "raw_formation_energy_mev_per_atom": 2, "magmom_total_mub_per_cell": 0.00, "lattice_angstrom": [[-4.832, -1.624, 1.308], [1.507, -3.124, 1.688], [2.609, 3.745, 4.603]], "species": ["Si", "Mg", "Ge", "Mg", "Si", "Ge"], "fractional_positions": [[0.582, 0.000, 0.700], [0.000, 0.000, 0.500], [0.099, 0.500, 0.212], [0.500, 0.500, 0.000], [0.418, 0.000, 0.300], [0.901, 0.500, 0.788]]}

---

# 13
{"formula": "MgSiGe3", "functional": "GGA-PBE", "state": "optimized geometry", "volume_a3_per_cell": 121.8, "de_polymorph_mev_per_atom": 470, "raw_formation_energy_mev_per_atom": 990, "magmom_total_mub_per_cell": 0.00, "lattice_angstrom": [[-3.988, -0.195, 2.936], [1.975, -3.845, 2.426], [2.182, 3.122, 3.171]], "species": ["Mg", "Ge", "Si", "Ge", "Ge"], "fractional_positions": [[0.000, 0.000, 0.000], [0.000, 0.500, 0.000], [0.500, 0.500, 0.500], [0.500, 0.000, 0.000], [0.000, 0.000, 0.500]]}

---

# 14
{"formula": "MgSiGe", "functional": "GGA-PBE", "state": "optimized geometry", "volume_a3_per_cell": 244.1, "de_polymorph_mev_per_atom": 0, "raw_formation_energy_mev_per_atom": 0, "magmom_total_mub_per_cell": 0.00, "lattice_angstrom": [[-1.624, 6.468, 0.516], [-0.875, -0.516, 3.714], [9.525, -0.284, 2.205]], "species": ["Si", "Mg", "Mg", "Si", "Mg", "Ge", "Ge", "Ge", "Ge", "Si", "Mg", "Si"], "fractional_positions": [[0.352, 0.000, 0.047], [0.274, 0.500, 0.242], [0.274, 0.000, 0.742], [0.648, 0.500, 0.453], [0.726, 0.000, 0.258], [0.144, 0.000, 0.431], [0.856, 0.000, 0.569], [0.856, 0.500, 0.069], [0.144, 0.500, 0.931], [0.648, 0.000, 0.953], [0.726, 0.500, 0.758], [0.352, 0.500, 0.547]]}

---

# 15
{"formula": "Sr2Mg4SiGe3", "functional": "GGA-PBE", "state": "optimized geometry", "volume_a3_per_cell": 235.4, "raw_formation_energy_mev_per_atom": -382, "magmom_total_mub_per_cell": 0.00, "lattice_angstrom": [[-1.361, -4.003, -1.638], [2.440, -2.128, 3.175], [-9.019, 0.180, 7.052]], "species": ["Mg", "Ge", "Sr", "Si", "Mg", "Mg", "Sr", "Mg", "Ge", "Ge"], "fractional_positions": [[0.000, 0.000, 0.000], [0.000, 0.500, 0.138], [0.500, 0.000, 0.256], [0.500, 0.500, 0.500], [0.500, 0.500, 0.000], [0.000, 0.500, 0.368], [0.000, 0.500, 0.744], [0.500, 0.000, 0.632], [0.000, 0.000, 0.500], [0.500, 0.000, 0.862]]}

---

# 16
{"formula": "Mg2TlSiGe", "functional": "GGA-PBE", "state": "optimized geometry", "volume_a3_per_cell": 132.7, "raw_formation_energy_mev_per_atom": 445, "magmom_total_mub_per_cell": 0.00, "lattice_angstrom": [[4.971, 0.000, 0.000], [0.000, 5.369, 0.000], [0.000, 0.000, 4.971]], "species": ["Mg", "Tl", "Si", "Ge", "Mg"], "fractional_positions": [[0.500, 0.000, 0.000], [0.000, 0.500, 0.000], [0.000, 0.000, 0.000], [0.500, 0.500, 0.500], [0.000, 0.000, 0.500]]}

---

# 17
{"formula": "MgTlSi2Ge", "functional": "GGA-PBE", "state": "optimized geometry", "volume_a3_per_cell": 146.6, "raw_formation_energy_mev_per_atom": 1213, "magmom_total_mub_per_cell": 0.00, "lattice_angstrom": [[5.215, 0.000, 0.000], [0.000, 5.391, 0.000], [0.000, 0.000, 5.215]], "species": ["Si", "Tl", "Ge", "Mg", "Si"], "fractional_positions": [[0.000, 0.000, 0.500], [0.000, 0.000, 0.000], [0.000, 0.500, 0.000], [0.500, 0.500, 0.500], [0.500, 0.000, 0.000]]}

---

# 18
{"formula": "YMgSiGe2", "functional": "GGA-PBE", "state": "optimized geometry", "volume_a3_per_cell": 129.5, "raw_formation_energy_mev_per_atom": 697, "magmom_total_mub_per_cell": 0.00, "lattice_angstrom": [[-4.152, -0.024, 2.359], [-1.373, -4.928, -2.468], [2.057, -2.375, 3.597]], "species": ["Ge", "Ge", "Si", "Y", "Mg"], "fractional_positions": [[0.500, 0.000, 0.000], [0.000, 0.000, 0.500], [0.500, 0.500, 0.500], [0.000, 0.500, 0.000], [0.000, 0.000, 0.000]]}

---

# 19
{"formula": "MgZnSiGe2", "functional": "GGA-PBE", "state": "optimized geometry", "volume_a3_per_cell": 111.7, "raw_formation_energy_mev_per_atom": 466, "magmom_total_mub_per_cell": 0.00, "lattice_angstrom": [[-4.099, 2.053, 1.682], [-2.433, -3.785, -1.309], [0.785, -2.018, 4.377]], "species": ["Ge", "Mg", "Ge", "Si", "Zn"], "fractional_positions": [[0.500, 0.000, 0.000], [0.500, 0.500, 0.500], [0.000, 0.000, 0.500], [0.000, 0.000, 0.000], [0.000, 0.500, 0.000]]}

---

# 20
{"formula": "SmMgGe", "functional": "GGA-PBE", "state": "optimized geometry", "volume_a3_per_cell": 71.6, "magmom_total_mub_per_cell": 0.00, "e_form_ev_per_atom": -0.501, "lattice_angstrom": [[-1.177, -1.607, -3.640], [0.537, -4.116, 1.643], [-3.946, 2.054, 0.370]], "species": ["Mg", "Sm", "Ge"], "fractional_positions": [[0.169, 0.667, 0.333], [0.668, 0.333, 0.667], [0.163, 0.000, 0.000]]}

---

# 21
{"formula": "SmMgGe2", "functional": "GGA-PBE", "state": "optimized geometry", "volume_a3_per_cell": 85.3, "de_polymorph_mev_per_atom": 33, "magmom_total_mub_per_cell": 0.00, "e_form_ev_per_atom": -0.484, "lattice_angstrom": [[-2.079, 3.000, 1.984], [-3.253, -0.172, -3.149], [-2.192, -3.129, 2.435]], "species": ["Ge", "Sm", "Ge", "Mg"], "fractional_positions": [[0.000, 0.000, 0.500], [0.500, 0.500, 0.500], [0.000, 0.500, 0.000], [0.500, 0.000, 0.000]]}

---

# 22
{"formula": "Sm2Mg3Ge4", "functional": "GGA-PBE", "state": "optimized geometry", "volume_a3_per_cell": 389.3, "magmom_total_mub_per_cell": 0.00, "e_form_ev_per_atom": -0.483, "lattice_angstrom": [[-5.528, -2.383, -0.918], [0.916, -4.651, 6.555], [-0.427, 6.870, 4.934]], "species": ["Ge", "Ge", "Mg", "Sm", "Ge", "Mg", "Mg", "Ge", "Sm", "Sm", "Mg", "Ge", "Ge", "Mg", "Sm", "Mg", "Ge", "Ge"], "fractional_positions": [[0.707, 0.750, 0.914], [0.293, 0.250, 0.086], [0.461, 0.250, 0.422], [0.613, 0.913, 0.226], [0.813, 0.053, 0.627], [0.039, 0.750, 0.578], [0.961, 0.250, 0.422], [0.207, 0.750, 0.914], [0.113, 0.587, 0.226], [0.887, 0.413, 0.774], [0.500, 0.500, 0.000], [0.793, 0.250, 0.086], [0.187, 0.947, 0.373], [0.000, 0.000, 0.000], [0.387, 0.087, 0.774], [0.539, 0.750, 0.578], [0.313, 0.447, 0.627], [0.687, 0.553, 0.373]]}

---

# 23
{"formula": "SmMgGe", "functional": "GGA-PBE", "state": "optimized geometry", "volume_a3_per_cell": 142.6, "magmom_total_mub_per_cell": 0.00, "e_form_ev_per_atom": -0.429, "lattice_angstrom": [[-2.121, -2.878, -2.398], [1.976, -3.086, 1.955], [-6.792, 1.271, 4.484]], "species": ["Sm", "Sm", "Mg", "Ge", "Ge", "Mg"], "fractional_positions": [[0.250, 0.915, 0.831], [0.750, 0.085, 0.169], [0.750, 0.750, 0.500], [0.750, 0.377, 0.752], [0.250, 0.623, 0.248], [0.250, 0.250, 0.500]]}

---

# 24
{"formula": "Sm5Mg2Ge4", "functional": "GGA-PBE", "state": "optimized geometry", "volume_a3_per_cell": 294.1, "magmom_total_mub_per_cell": 0.52, "e_form_ev_per_atom": -0.460, "lattice_angstrom": [[-1.294, -0.093, 4.006], [5.396, -4.543, 1.638], [3.680, 9.806, -0.796]], "species": ["Sm", "Mg", "Ge", "Mg", "Sm", "Sm", "Sm", "Sm", "Ge", "Ge", "Ge"], "fractional_positions": [[0.500, 0.000, 0.000], [0.428, 0.425, 0.855], [0.291, 0.291, 0.582], [0.572, 0.575, 0.145], [0.836, 0.601, 0.672], [0.836, 0.070, 0.672], [0.164, 0.399, 0.328], [0.164, 0.930, 0.328], [0.000, 0.695, 0.000], [0.709, 0.709, 0.418], [0.000, 0.305, 0.000]]}

---

# 25
{"formula": "Sm3Mg2Ge3", "functional": "GGA-PBE", "state": "optimized geometry", "volume_a3_per_cell": 391.9, "magmom_total_mub_per_cell": 0.00, "e_form_ev_per_atom": -0.614, "lattice_angstrom": [[6.166, 0.000, 0.000], [0.000, 7.419, -4.283], [0.000, 0.000, 8.566]], "species": ["Ge", "Mg", "Mg", "Ge", "Sm", "Mg", "Sm", "Sm", "Ge", "Sm", "Ge", "Sm", "Ge", "Ge", "Mg", "Sm"], "fractional_positions": [[0.250, 0.374, 0.000], [0.500, 0.667, 0.333], [0.000, 0.667, 0.333], [0.250, 0.626, 0.626], [0.250, 0.281, 0.281], [0.000, 0.333, 0.667], [0.250, 0.000, 0.719], [0.750, 0.281, 0.000], [0.750, 0.000, 0.626], [0.750, 0.000, 0.281], [0.750, 0.374, 0.374], [0.750, 0.719, 0.719], [0.750, 0.626, 0.000], [0.250, 0.000, 0.374], [0.500, 0.333, 0.667], [0.250, 0.719, 0.000]]}

---

# 26
{"formula": "SmMgGe2", "functional": "GGA-PBE", "state": "optimized geometry", "volume_a3_per_cell": 89.2, "de_polymorph_mev_per_atom": 104, "magmom_total_mub_per_cell": 0.00, "e_form_ev_per_atom": -0.412, "lattice_angstrom": [[4.511, 0.000, 0.000], [2.256, 3.907, 0.000], [2.256, 1.302, 5.062]], "species": ["Sm", "Ge", "Mg", "Ge"], "fractional_positions": [[0.500, 0.500, 0.500], [0.730, 0.730, 0.810], [0.000, 0.000, 0.000], [0.270, 0.270, 0.190]]}